(1)
## HoThGa2Co2 (PBE)

Data for crystalline HoThGa2Co2 at its relaxed geometry.

Values from the calculation:
Space group: No. 164
DFT formation energy in eV per atom: -0.45

abc: 4.250 4.250 7.273
angles: 90.00 90.00 120.00
Fractional coordinates of all 6 atoms:
1 Ho 0.000 0.000 0.500
2 Th 0.000 0.000 0.000
3 Ga 0.667 0.333 0.732
4 Ga 0.333 0.667 0.268
5 Co 0.667 0.333 0.245
6 Co 0.333 0.667 0.755

***

(2)
## Ac2Pm7Er2 (PBE)

Data for crystalline Ac2Pm7Er2 at its relaxed geometry.

Values from the calculation:
Space group: No. 12
DFT formation energy in eV per atom: 0.16
E above lowest polymorph in meV per atom: 24.0

abc: 8.974 6.168 8.974
angles: 63.52 97.12 116.48
Fractional coordinates of all 11 atoms:
1 Ac 0.222 0.837 0.778
2 Ac 0.778 0.163 0.222
3 Pm 0.406 0.185 0.048
4 Pm 0.048 0.815 0.406
5 Pm 0.594 0.815 0.952
6 Pm 0.952 0.185 0.594
7 Pm 0.576 0.356 0.424
8 Pm 0.000 0.000 0.000
9 Pm 0.424 0.644 0.576
10 Er 0.768 0.500 0.768
11 Er 0.232 0.500 0.232

***

(3)
## Sb2RuC (PBE)

Data for crystalline Sb2RuC at its relaxed geometry.

Values from the calculation:
Space group: No. 122
E above lowest polymorph in meV per atom: 0.0

abc: 5.819 5.819 6.268
angles: 62.34 62.34 90.00
Fractional coordinates of all 8 atoms:
1 Sb 0.577 0.125 0.250
2 Sb 0.173 0.625 0.250
3 Sb 0.375 0.423 0.750
4 Sb 0.875 0.827 0.750
5 C 0.500 0.500 0.000
6 C 0.250 0.750 0.500
7 Ru 0.000 0.000 0.000
8 Ru 0.750 0.250 0.500